P:
# LiNdB

LiNdB after structural relaxation (PBE, OQMD).

a b c (Å): 4.3402 4.3402 4.3402
angles (deg): 60.00 60.00 60.00
With the nearest neighbours (Å) after each atom.
Sites, in units of the cell vectors:
Li 0.0000 0.0000 0.0000  4 B 2.66
Nd 0.5000 0.5000 0.5000  4 B 2.66
B 0.2500 0.2500 0.2500  4 Li 2.66, 4 Nd 2.66

Values from the calculation:
- total magnetization (μB/f.u.) = 0.0
- SG = No. 216

---

Q:
# LiNdB

LiNdB after structural relaxation (PBE, OQMD).

a b c (Å): 4.3761 4.3761 4.3761
angles (deg): 60.00 60.00 60.00
With the nearest neighbours (Å) after each atom.
Sites, in units of the cell vectors:
Li 0.0000 0.0000 0.0000  4 Nd 2.68
Nd 0.7500 0.7500 0.7500  4 B 2.68, 4 Li 2.68
B 0.5000 0.5000 0.5000  4 Nd 2.68

Values from the calculation:
- total magnetization (μB/f.u.) = 0.0
- SG = No. 216

---

R:
# LiNdB

LiNdB after structural relaxation (PBE, OQMD).

a b c (Å): 4.2301 4.2301 4.2301
angles (deg): 60.00 60.00 60.00
With the nearest neighbours (Å) after each atom.
Sites, in units of the cell vectors:
Li 0.0000 0.0000 0.0000  4 Nd 2.59, 4 B 2.59
Nd 0.2500 0.2500 0.2500  4 Li 2.59
B 0.7500 0.7500 0.7500  4 Li 2.59

Values from the calculation:
- total magnetization (μB/f.u.) = 0.0
- SG = No. 216

---

Here is how they stack up, most stable first: P, R, Q.

---

P:
# LiNdB4

LiNdB4 after structural relaxation (PBE, OQMD).

a b c (Å): 3.2618 3.2618 6.4184
angles (deg): 90.00 90.00 120.00
With the nearest neighbours (Å) after each atom.
Sites, in units of the cell vectors:
Li 0.0000 0.0000 0.0000  12 B 2.21
Nd 0.0000 0.0000 0.5000  12 B 2.78
B 0.3333 0.6667 0.1816  3 B 1.88
B 0.3333 0.6667 0.8184  3 B 1.88
B 0.6667 0.3333 0.1816  3 B 1.88
B 0.6667 0.3333 0.8184  3 B 1.88

Values from the calculation:
- total magnetization (μB/f.u.) = 0.0
- SG = No. 191

---

Q:
# LiNdB4

LiNdB4 after structural relaxation (PBE, OQMD).

a b c (Å): 5.1584 5.1584 5.1584
angles (deg): 144.42 116.42 75.04
With the nearest neighbours (Å) after each atom.
Sites, in units of the cell vectors:
Li 0.0000 0.0000 0.0000  12 B 2.68-2.78
Nd 0.5000 0.5000 0.0000  12 B 2.72-2.73
B 0.0782 0.7537 0.3245  3 B 1.77-1.91
B 0.4292 0.7537 0.6755  3 B 1.77-1.91
B 0.5708 0.2463 0.3245  3 B 1.77-1.91
B 0.9218 0.2463 0.6755  3 B 1.77-1.91

Values from the calculation:
- total magnetization (μB/f.u.) = 0.0
- SG = No. 71

---

Here is how they stack up, most stable first: Q, P.

---

P:
# LiNiB4

LiNiB4 after structural relaxation (PBE, OQMD).

a b c (Å): 2.9723 2.9723 6.5351
angles (deg): 90.00 90.00 120.00
With the nearest neighbours (Å) after each atom.
Sites, in units of the cell vectors:
Li 0.0000 0.0000 0.0000  12 B 2.48
Ni 0.0000 0.0000 0.5000  12 B 2.26
B 0.3333 0.6667 0.2743  3 B 1.72
B 0.3333 0.6667 0.7257  3 B 1.72
B 0.6667 0.3333 0.2743  3 B 1.72
B 0.6667 0.3333 0.7257  3 B 1.72

Values from the calculation:
- total magnetization (μB/f.u.) = 0.0
- SG = No. 191

---

Q:
# LiNiB4

LiNiB4 after structural relaxation (PBE, OQMD).

a b c (Å): 4.3105 4.3105 4.3105
angles (deg): 139.80 106.61 87.15
With the nearest neighbours (Å) after each atom.
Sites, in units of the cell vectors:
Li 0.0000 0.0000 0.0000  12 B 2.29-2.35
Ni 0.5000 0.5000 0.0000  12 B 2.32-2.33
B 0.0832 0.7458 0.3373  3 B 1.68-1.73
B 0.4085 0.7458 0.6627  3 B 1.68-1.73
B 0.5915 0.2542 0.3373  3 B 1.68-1.73
B 0.9168 0.2542 0.6627  3 B 1.68-1.73

Values from the calculation:
- total magnetization (μB/f.u.) = 0.0
- SG = No. 71

---

Here is how they stack up, most stable first: P, Q.

---

P:
# LiNi3B2

LiNi3B2 after structural relaxation (PBE, OQMD).

a b c (Å): 5.6288 5.6288 5.6288
angles (deg): 116.16 85.47 129.64
With the nearest neighbours (Å) after each atom.
Sites, in units of the cell vectors:
Li 0.4889 0.2389 0.2500  4 B 2.50-2.61, 6 Ni 2.70-2.77
Li 0.5111 0.7611 0.7500  4 B 2.50-2.61, 6 Ni 2.70-2.77
Ni 0.0000 0.0000 0.5000  4 B 2.18, 4 Ni 2.41
Ni 0.0000 0.2976 0.2976  4 B 2.02-2.05
Ni 0.0000 0.5000 0.0000  4 B 2.18, 4 Ni 2.41
Ni 0.0000 0.7024 0.7024  4 B 2.02-2.05
Ni 0.5000 0.2976 0.7976  4 B 2.02-2.05
Ni 0.5000 0.7024 0.2024  4 B 2.02-2.05
B 0.1073 0.1700 0.9373  1 B 1.93, 4 Ni 2.02-2.05
B 0.2673 0.8300 0.4373  1 B 1.93, 4 Ni 2.02-2.05
B 0.7327 0.1700 0.5627  1 B 1.93, 4 Ni 2.02-2.05
B 0.8927 0.8300 0.0627  1 B 1.93, 4 Ni 2.02-2.05

Values from the calculation:
- total magnetization (μB/f.u.) = 0.0
- SG = No. 74

---

Q:
# LiNi3B2

LiNi3B2 after structural relaxation (PBE, OQMD).

a b c (Å): 4.8457 4.8457 8.6333
angles (deg): 90.00 90.00 120.00
With the nearest neighbours (Å) after each atom.
Sites, in units of the cell vectors:
Li 0.0000 0.0000 0.0000  4 B 2.59, 8 Ni 2.64-2.82, 2 Li 2.88
Li 0.0000 0.0000 0.3333  4 B 2.59, 8 Ni 2.64-2.82, 2 Li 2.88
Li 0.0000 0.0000 0.6667  4 B 2.59, 8 Ni 2.64-2.82, 2 Li 2.88
Ni 0.0000 0.5000 0.1227  4 B 2.00-2.04
Ni 0.0000 0.5000 0.5439  4 B 2.00-2.04
Ni 0.0000 0.5000 0.8333  4 B 2.22, 4 Ni 2.45
Ni 0.5000 0.0000 0.2106  4 B 2.00-2.04
Ni 0.5000 0.0000 0.5000  4 B 2.22, 4 Ni 2.45
Ni 0.5000 0.0000 0.7894  4 B 2.00-2.04
Ni 0.5000 0.5000 0.1667  4 B 2.22, 4 Ni 2.45
Ni 0.5000 0.5000 0.4561  4 B 2.00-2.04
Ni 0.5000 0.5000 0.8773  4 B 2.00-2.04
B 0.2182 0.6091 0.3333  1 B 1.83, 4 Ni 2.00-2.04
B 0.3909 0.6091 0.6667  1 B 1.83, 4 Ni 2.00-2.04
B 0.3909 0.7818 0.0000  1 B 1.83, 4 Ni 2.00-2.04
B 0.6091 0.2182 0.0000  1 B 1.83, 4 Ni 2.00-2.04
B 0.6091 0.3909 0.6667  1 B 1.83, 4 Ni 2.00-2.04
B 0.7818 0.3909 0.3333  1 B 1.83, 4 Ni 2.00-2.04

Values from the calculation:
- total magnetization (μB/f.u.) = 0.0
- SG = No. 181

---

Here is how they stack up, most stable first: Q, P.